a | Below is a geometry-optimized ScNbGa structure, with properties calculated at the GGA-PBE level.

Lattice parameters (Å, degrees): 3.936 3.936 7.584 90.00 90.00 90.00
Sites, in units of the cell vectors:
Sc (0.250, 0.250, 0.155)
Sc (0.750, 0.750, 0.845)
Nb (0.250, 0.750, 0.500)
Nb (0.750, 0.250, 0.500)
Ga (0.250, 0.250, 0.769)
Ga (0.750, 0.750, 0.231)

Summary:
space-group type: P4/nmm, No. 129
volume: 19.58 Å³ per atom



b | Below is a geometry-optimized ScNbGa structure, with properties calculated at the GGA-PBE level.

Lattice parameters (Å, degrees): 4.717 4.717 2.845 90.00 90.00 120.00
Sites, in units of the cell vectors:
Sc (0.000, 0.000, 0.000)
Nb (0.667, 0.333, 0.002)
Ga (0.333, 0.667, 0.500)

Summary:
space-group type: P3m1, No. 156
volume: 18.27 Å³ per atom



What are the relative energies? In kJ/mol of atoms: a 0.0; b 42.8.



a | Below is a geometry-optimized Sc3NbGa structure, with properties calculated at the GGA-PBE level.

Lattice parameters (Å, degrees): 4.990 4.990 4.990 90.00 90.00 90.00
Sites, in units of the cell vectors:
Sc (0.000, 0.000, 0.500)
Sc (0.000, 0.500, 0.000)
Sc (0.500, 0.000, 0.000)
Nb (0.500, 0.500, 0.500)
Ga (0.000, 0.000, 0.000)

Summary:
space-group type: Pm-3m, No. 221
volume: 24.86 Å³ per atom



b | Below is a geometry-optimized Sc3NbGa structure, with properties calculated at the GGA-PBE level.

Lattice parameters (Å, degrees): 5.067 5.067 5.067 90.00 90.00 90.00
Sites, in units of the cell vectors:
Sc (0.000, 0.000, 0.500)
Sc (0.000, 0.500, 0.000)
Sc (0.500, 0.000, 0.000)
Nb (0.000, 0.000, 0.000)
Ga (0.500, 0.500, 0.500)

Summary:
space-group type: Pm-3m, No. 221
volume: 26.02 Å³ per atom



What are the relative energies? In kJ/mol of atoms: a 0.0; b 1.5.



a | Below is a geometry-optimized Nb2GaSe2 structure, with properties calculated at the GGA-PBE level.

Lattice parameters (Å, degrees): 7.402 7.402 3.334 90.00 90.00 90.00
Sites, in units of the cell vectors:
Nb (0.151, 0.349, 0.000)
Nb (0.349, 0.849, 0.000)
Nb (0.651, 0.151, 0.000)
Nb (0.849, 0.651, 0.000)
Ga (0.000, 0.000, 0.000)
Ga (0.500, 0.500, 0.000)
Se (0.142, 0.642, 0.500)
Se (0.358, 0.142, 0.500)
Se (0.642, 0.858, 0.500)
Se (0.858, 0.358, 0.500)

Summary:
space-group type: P4/mbm, No. 127
volume: 18.26 Å³ per atom



b | Below is a geometry-optimized Nb2GaSe2 structure, with properties calculated at the GGA-PBE level.

Lattice parameters (Å, degrees): 6.425 6.425 6.425 140.68 140.68 56.82
Sites, in units of the cell vectors:
Nb (0.117, 0.117, 0.000)
Nb (0.883, 0.883, 0.000)
Ga (0.500, 0.500, 0.000)
Se (0.250, 0.750, 0.500)
Se (0.750, 0.250, 0.500)

Summary:
space-group type: I4/mmm, No. 139
volume: 21.12 Å³ per atom



What are the relative energies? In kJ/mol of atoms: a 0.0; b 29.8.



a | Below is a geometry-optimized NbGaSi structure, with properties calculated at the GGA-PBE level.

Lattice parameters (Å, degrees): 7.328 7.328 3.664 90.00 90.00 151.39
Sites, in units of the cell vectors:
Nb (0.096, 0.904, 0.750)
Nb (0.904, 0.096, 0.250)
Ga (0.250, 0.750, 0.250)
Ga (0.750, 0.250, 0.750)
Si (0.442, 0.558, 0.750)
Si (0.558, 0.442, 0.250)

Summary:
space-group type: Cmcm, No. 63
volume: 15.70 Å³ per atom



b | Below is a geometry-optimized NbGaSi structure, with properties calculated at the GGA-PBE level.

Lattice parameters (Å, degrees): 4.469 4.469 2.716 90.00 90.00 120.00
Sites, in units of the cell vectors:
Nb (0.000, 0.000, 0.000)
Ga (0.667, 0.333, 0.500)
Si (0.333, 0.667, 0.500)

Summary:
space-group type: P-6m2, No. 187
volume: 15.66 Å³ per atom



c | Below is a geometry-optimized NbGaSi structure, with properties calculated at the GGA-PBE level.

Lattice parameters (Å, degrees): 5.978 5.978 5.978 90.00 90.00 90.00
Sites, in units of the cell vectors:
Nb (0.084, 0.084, 0.084)
Nb (0.416, 0.916, 0.584)
Nb (0.584, 0.416, 0.916)
Nb (0.916, 0.584, 0.416)
Ga (0.181, 0.319, 0.681)
Ga (0.319, 0.681, 0.181)
Ga (0.681, 0.181, 0.319)
Ga (0.819, 0.819, 0.819)
Si (0.004, 0.996, 0.496)
Si (0.496, 0.004, 0.996)
Si (0.504, 0.504, 0.504)
Si (0.996, 0.496, 0.004)

Summary:
space-group type: P2_13, No. 198
volume: 17.80 Å³ per atom



What are the relative energies? In kJ/mol of atoms: a 0.0; b 37.3; c 63.3.